Entry 1:
# Pr3SnP, relaxed, DFT PBE
# Formation energy from the elements ... -4.8 eV/f.u.
# Mass density ... 6.31 g/cm3
# Space-group type ... No. 62
# Volume ... 30.1 Å³ per atom
# Spin magnetization ... 2.1 μB/cell
data_Pr3SnP
_chemical_formula_sum 'Pr12 Sn4 P4'
_space_group_name_H-M_alt 'P 1'
_space_group_IT_number 1
_cell_length_a 8.831
_cell_length_b 4.382
_cell_length_c 15.573
_cell_angle_alpha 90.00
_cell_angle_beta 90.00
_cell_angle_gamma 90.00
loop_
_space_group_symop_operation_xyz
'x,y,z'
loop_
_atom_site_label
_atom_site_fract_x
_atom_site_fract_y
_atom_site_fract_z
_atom_site_occupancy
Pr1 0.022 0.250 0.108 1
Pr2 0.154 0.250 0.517 1
Pr3 0.183 0.750 0.285 1
Pr4 0.317 0.250 0.785 1
Pr5 0.346 0.750 0.017 1
Pr6 0.478 0.750 0.608 1
Pr7 0.522 0.250 0.392 1
Pr8 0.654 0.250 0.983 1
Pr9 0.683 0.750 0.215 1
Pr10 0.817 0.250 0.715 1
Pr11 0.846 0.750 0.483 1
Pr12 0.978 0.750 0.892 1
Sn1 0.096 0.750 0.679 1
Sn2 0.404 0.250 0.179 1
Sn3 0.596 0.750 0.821 1
Sn4 0.904 0.250 0.321 1
P1 0.174 0.250 0.944 1
P2 0.326 0.750 0.444 1
P3 0.674 0.250 0.556 1
P4 0.826 0.750 0.056 1

=====

Entry 2:
# Pr6Sn2Te3P, relaxed, DFT PBE
# Mass density ... 6.42 g/cm3
# Space-group type ... No. 12
# Raw formation energy ... -1.26 eV/atom
# Volume ... 32.3 Å³ per atom
# Spin magnetization ... 0.0 μB/cell
data_Pr6Sn2Te3P
_chemical_formula_sum 'Pr6 Sn2 Te3 P1'
_space_group_name_H-M_alt 'P 1'
_space_group_IT_number 1
_cell_length_a 10.088
_cell_length_b 10.088
_cell_length_c 9.064
_cell_angle_alpha 103.55
_cell_angle_beta 103.55
_cell_angle_gamma 25.63
loop_
_space_group_symop_operation_xyz
'x,y,z'
loop_
_atom_site_label
_atom_site_fract_x
_atom_site_fract_y
_atom_site_fract_z
_atom_site_occupancy
Pr1 0.001 0.001 0.226 1
Pr2 0.332 0.332 0.422 1
Pr3 0.343 0.343 0.917 1
Pr4 0.657 0.657 0.083 1
Pr5 0.668 0.668 0.578 1
Pr6 0.999 0.999 0.774 1
Sn1 0.166 0.166 0.331 1
Sn2 0.834 0.834 0.669 1
Te1 0.168 0.168 0.835 1
Te2 0.500 0.500 0.500 1
Te3 0.832 0.832 0.165 1
P1 0.500 0.500 0.000 1